[1]
# Nd2ZrGa3Rh4

An optimized crystal structure of Nd2ZrGa3Rh4 (GGA-PBE, Alexandria via LeMat-Bulk).

## Properties
The calculation puts the total energy at -64.43 eV/f.u. Its theoretical density is 8498 kg/m³. As for the total moment: 0.0 μB/cell. The energy relative to the elements is -0.79 eV per atom.

a b c (Å): 4.2393 4.2393 10.8786
angles (deg): 90.00 90.00 90.00
Last column: nearest neighbours and their distance in Å.
Element x y z (fractional)
Nd  0.5000  0.0000  0.2278  4 Ga 3.22, 8 Rh 3.26-3.29
Nd  0.0000  0.5000  0.7722  4 Ga 3.22, 8 Rh 3.26-3.29
Zr  0.5000  0.5000  0.5000  4 Rh 2.65
Ga  0.0000  0.0000  0.5000  4 Rh 2.65
Ga  0.5000  0.0000  0.8792  5 Rh 2.49-2.53
Ga  0.0000  0.5000  0.1208  5 Rh 2.49-2.53
Rh  0.5000  0.5000  0.0000  4 Ga 2.49
Rh  0.0000  0.0000  0.0000  4 Ga 2.49
Rh  0.5000  0.0000  0.6469  3 Ga 2.53-2.65, 2 Zr 2.65
Rh  0.0000  0.5000  0.3531  3 Ga 2.53-2.65, 2 Zr 2.65

---

[2]
# LiDy3Tl3

An optimized crystal structure of LiDy3Tl3 (GGA-PBE, Alexandria via LeMat-Bulk).

## Properties
The calculation puts the total energy at -24.25 eV/f.u. Its theoretical density is 9677 kg/m³. For the energy above the most stable polymorph in this dataset, the calculation gives 0.077 eV/atom. As for the total moment: 0.0 μB/cell. The energy relative to the elements is -0.20 eV per atom.

a b c (Å): 6.6732 6.6732 8.9102
angles (deg): 93.13 93.13 105.85
Last column: nearest neighbours and their distance in Å.
Element x y z (fractional)
Li  0.7242  0.7242  0.9587  3 Tl 2.74-2.75
Li  0.2758  0.2758  0.0413  3 Tl 2.74-2.75
Dy  0.6109  0.6109  0.3370  3 Tl 3.08-3.24
Dy  0.1754  0.8246  0.5000  6 Tl 3.04-3.21
Dy  0.8246  0.1754  0.5000  6 Tl 3.04-3.21
Dy  0.2476  0.7524  0.0000  6 Tl 3.24-3.25, 4 Li 3.28-3.44
Dy  0.7524  0.2476  0.0000  6 Tl 3.24-3.25, 4 Li 3.28-3.44
Dy  0.3891  0.3891  0.6630  3 Tl 3.08-3.24
Tl  0.9528  0.9528  0.2059  1 Li 2.74
Tl  0.8925  0.5479  0.7288  1 Li 2.75, 1 Dy 3.04
Tl  0.5479  0.8925  0.7288  1 Li 2.75, 1 Dy 3.04
Tl  0.1075  0.4521  0.2712  1 Li 2.75, 1 Dy 3.04
Tl  0.4521  0.1075  0.2712  1 Li 2.75, 1 Dy 3.04
Tl  0.0472  0.0472  0.7941  1 Li 2.74

---

[3]
# GeW

An optimized crystal structure of GeW (GGA-PBE, Alexandria via LeMat-Bulk).

## Properties
The calculation puts the total energy at -16.88 eV/f.u. Its theoretical density is 12524 kg/m³. For the energy above the most stable polymorph in this dataset, the calculation gives 0.083 eV/atom. As for the total moment: 0.0 μB/cell. The energy relative to the elements is 0.34 eV per atom.

a b c (Å): 3.0573 4.6601 5.0086
angles (deg): 90.00 107.62 90.00
Last column: nearest neighbours and their distance in Å.
Element x y z (fractional)
Ge  0.0641  0.7500  0.1261  5 W 2.59-2.76, 2 Ge 2.62
Ge  0.9359  0.2500  0.8739  5 W 2.59-2.76, 2 Ge 2.62
W  0.7814  0.7500  0.5655  5 Ge 2.59-2.76, 4 W 2.85-2.86
W  0.2186  0.2500  0.4345  5 Ge 2.59-2.76, 4 W 2.85-2.86

---

[4]
# BaTl4Pb8

An optimized crystal structure of BaTl4Pb8 (GGA-PBE, Alexandria via LeMat-Bulk).

## Properties
The calculation puts the total energy at -42.06 eV/f.u. Its theoretical density is 10079 kg/m³. As for the total moment: 0.0 μB/cell. The energy relative to the elements is -0.08 eV per atom.

a b c (Å): 6.3964 8.8046 8.8046
angles (deg): 82.42 68.70 68.70
Last column: nearest neighbours and their distance in Å.
Element x y z (fractional)
Ba  0.0000  0.0000  0.0000  12 Pb 4.06-4.14, 8 Tl 4.40
Tl  0.0000  0.0000  0.5000  2 Tl 3.20, 8 Pb 3.34-3.54
Tl  0.5000  0.0000  0.5000  2 Tl 3.20, 8 Pb 3.34-3.54
Tl  0.0000  0.5000  0.0000  2 Tl 3.20, 8 Pb 3.34-3.54
Tl  0.5000  0.5000  0.0000  2 Tl 3.20, 8 Pb 3.34-3.54
Pb  0.0000  0.3571  0.6429  5 Pb 3.32-3.69, 4 Tl 3.54
Pb  0.0000  0.6429  0.3571  5 Pb 3.32-3.69, 4 Tl 3.54
Pb  0.3571  0.6429  0.6429  5 Pb 3.32-3.69, 4 Tl 3.54
Pb  0.6429  0.3571  0.3571  5 Pb 3.32-3.69, 4 Tl 3.54
Pb  0.5000  0.7846  0.2154  4 Tl 3.34, 6 Pb 3.53-3.69
Pb  0.5000  0.2154  0.7846  4 Tl 3.34, 6 Pb 3.53-3.69
Pb  0.2846  0.2154  0.2154  4 Tl 3.34, 6 Pb 3.53-3.69
Pb  0.7154  0.7846  0.7846  4 Tl 3.34, 6 Pb 3.53-3.69